This record from Alexandria describes a relaxed structure of MgCoAs2O6. The functional is PBE+U. Values from VASP.

```
&SYSTEM
  ibrav = 0, nat = 20, ntyp = 4
/
ATOMIC_SPECIES
Mg 24.30 Mg.upf
Co 58.93 Co.upf
As 74.92 As.upf
O 16.00 O.upf
CELL_PARAMETERS angstrom
6.2240 -4.2222 0.0000
6.2240 4.2222 0.0000
-0.0124 0.0000 5.0209
ATOMIC_POSITIONS angstrom
Mg 6.2147 2.2944 3.7656
Mg 6.2209 -2.2944 1.2552
Co 6.2209 0.6432 1.2552
Co 6.2147 -0.6432 3.7656
As 2.2098 0.9578 3.6932
As 2.2160 -0.9578 1.1828
As 10.2196 0.9578 3.8381
As 10.2259 -0.9578 1.3276
O 1.4477 0.5842 0.3385
O 5.1226 2.1136 2.0236
O 1.4415 -0.5842 2.8489
O 7.3192 2.1136 0.4869
O 5.2634 0.6574 4.6377
O 7.1660 0.6574 2.8936
O 5.2696 -0.6574 2.1273
O 7.1722 -0.6574 0.3831
O 5.1164 -2.1136 4.5340
O 10.9941 0.5842 2.1720
O 7.3130 -2.1136 2.9973
O 10.9879 -0.5842 4.6824
```

Space group = C2/c (15)
DFT total energy = -5.90 eV per atom
Calculated volume = 263.9 Å³/cell